Entry 1:
Below is InAgOs after structural relaxation, with properties calculated at the GGA-PBE level.

The structure belongs to space group P3m1 (No. 156); the cell edges are 2.9431, 2.9431 and 7.0507 Å and the angles 90.00°, 90.00° and 120.00°. The inequivalent atoms are In at (0.0000, 0.0000, 0.0000), Ag at (0.6667, 0.3333, 0.6510) and Os at (0.3333, 0.6667, 0.3200).

The calculation puts the density of states at the Fermi level at 2.95 states/eV/cell. For the energy of formation from the pure elements, the calculation gives 0.597 eV per atom.


Entry 2:
Below is RbZn2Ge after structural relaxation, with properties calculated at the GGA-PBE level.

The structure belongs to space group I4_1/amd (No. 141, origin choice 2); the cell edges are 5.5351, 5.5351 and 16.5937 Å and the angles 90.00°, 90.00° and 90.00°. The inequivalent atoms are Rb at (0.0000, 0.2500, 0.3750), Zn at (0.0000, 0.0000, 0.0000) and Ge at (0.0000, 0.2500, 0.8750).

The calculation puts the density of states at the Fermi level at 6.02 states/eV/cell. For the energy of formation from the pure elements, the calculation gives 0.087 eV per atom.


Entry 3:
Below is Rb2ZnPt after structural relaxation, with properties calculated at the GGA-PBE level.

The structure belongs to space group I-42d (No. 122); the cell edges are 6.7279, 6.7279 and 19.0448 Å and the angles 90.00°, 90.00° and 90.00°. The inequivalent atoms are Rb at (0.1803, 0.2500, 0.1250), Zn at (0.0000, 0.0000, 0.5000) and Pt at (0.0000, 0.0000, 0.0000).

The calculation puts the density of states at the Fermi level at 0.00 states/eV/cell. For the energy of formation from the pure elements, the calculation gives 0.473 eV per atom.


Entry 4:
Below is PuPaVPt after structural relaxation, with properties calculated at the GGA-PBE level.

The structure belongs to space group F-43m (No. 216); the cell edges are 6.9154, 6.9154 and 6.9154 Å and the angles 90.00°, 90.00° and 90.00°. The inequivalent atoms are Pu at (0.0000, 0.0000, 0.0000), Pa at (0.0000, 0.0000, 0.5000), V at (0.2500, 0.2500, 0.2500) and Pt at (0.2500, 0.2500, 0.7500).

The calculation puts the density of states at the Fermi level at 33.86 states/eV/cell. For the energy of formation from the pure elements, the calculation gives -0.129 eV per atom.


Entry 5:
Below is Pm2ErTl3Te6 after structural relaxation, with properties calculated at the GGA-PBE level.

The structure belongs to space group C2/m (No. 12); the cell edges are 7.8018, 13.5111 and 8.5857 Å and the angles 90.00°, 107.64° and 90.00°. The inequivalent atoms are Pm at (0.0000, 0.1663, 0.0000), Er at (0.0000, 0.5000, 0.0000), Tl at (0.0000, 0.0000, 0.5000), Tl at (0.0000, 0.3307, 0.5000), Te at (0.2345, 0.3372, 0.2156) and Te at (0.2473, 0.0000, 0.2178).

The raw formation energy comes out at -1.06 eV per atom.


Entry 6:
Below is SiSnMo2 after structural relaxation, with properties calculated at the GGA-PBE level.

The structure belongs to space group Fm-3m (No. 225); the cell edges are 6.3869, 6.3869 and 6.3869 Å and the angles 90.00°, 90.00° and 90.00°. The inequivalent atoms are Si at (0.0000, 0.0000, 0.0000), Sn at (0.0000, 0.0000, 0.5000) and Mo at (0.2500, 0.2500, 0.2500).

The calculation puts the density of states at the Fermi level at 24.13 states/eV/cell. The raw formation energy comes out at 0.25 eV per atom.